Material: YHoCo2Si2C
Method: DFT, PBE-GGA
State: optimized geometry

Results
**Final energy**: -7.166 eV/atom
**Calculated volume**: 213.2 Å³ per cell
**Total moment**: 0.04 Bohr magnetons per cell

```
data_YHoCo2Si2C
_space_group_name_H-M_alt 'C 1 m 1'
_space_group_IT_number 8
_cell_length_a 10.544
_cell_length_b 3.868
_cell_length_c 6.781
_cell_angle_alpha 90.00
_cell_angle_beta 129.57
_cell_angle_gamma 90.00
loop_
_space_group_symop_operation_xyz
'x,y,z'
'x,-y,z'
'x+1/2,y+1/2,z'
'x+1/2,-y+1/2,z'
loop_
_atom_site_label
_atom_site_type_symbol
_atom_site_fract_x
_atom_site_fract_y
_atom_site_fract_z
_atom_site_occupancy
Y1 Y 0.000 0.000 0.000 1
Ho1 Ho 0.372 0.500 0.405 1
Co1 Co 0.134 0.500 0.789 1
Co2 Co 0.236 0.000 0.613 1
Si1 Si 0.092 0.500 0.406 1
Si2 Si 0.280 0.000 0.998 1
C1 C 0.435 0.000 0.699 1
```